[1]
Entry from the Alexandria database: BePb2Au2 after structural relaxation (PBE). Values from VASP.

```
&SYSTEM
  ibrav = 0, nat = 10, ntyp = 3
/
ATOMIC_SPECIES
Au 196.97 Au.upf
Be 9.01 Be.upf
Pb 207.20 Pb.upf
ATOMIC_POSITIONS crystal
Au 0.3380 0.8380 0.0000
Au 0.8380 0.6620 0.0000
Au 0.1620 0.3380 0.0000
Au 0.6620 0.1620 0.0000
Be 0.0000 0.0000 0.0000
Be 0.5000 0.5000 0.0000
Pb 0.8156 0.3156 0.5000
Pb 0.3156 0.1844 0.5000
Pb 0.6844 0.8156 0.5000
Pb 0.1844 0.6844 0.5000
CELL_PARAMETERS angstrom
-1.3183 -0.2724 -6.1973
-5.7606 -2.2968 1.3264
-2.0120 5.1624 0.2011
```

Values from the calculation:
Energy above the lowest structure with this stoichiometry, eV/atom: 0.000
Total DFT energy (no corrections), Ry per atom: -0.2530
Formation energy from the elements, meV/atom: 98
Magnetic moment, μB/cell: 0.0



[2]
Entry from the Alexandria database: Na3Li after structural relaxation (PBE). Values from VASP.

```
&SYSTEM
  ibrav = 0, nat = 4, ntyp = 2
/
ATOMIC_SPECIES
Li 6.94 Li.upf
Na 22.99 Na.upf
ATOMIC_POSITIONS crystal
Li 0.0000 0.0000 0.9661
Na 0.5000 0.0000 0.7203
Na 0.5000 0.5000 0.1840
Na 0.0000 0.5000 0.4630
CELL_PARAMETERS angstrom
-1.7110 -2.2192 -1.9870
2.0131 -2.4555 1.0089
-7.2076 -2.3023 8.7777
```

Values from the calculation:
Energy above the lowest structure with this stoichiometry, eV/atom: 0.038
Total DFT energy (no corrections), Ry per atom: -0.1020
Formation energy from the elements, meV/atom: 80
Magnetic moment, μB/cell: 0.0



[3]
Entry from the Alexandria database: ZrBe2CrS after structural relaxation (PBE). Values from VASP.

```
&SYSTEM
  ibrav = 0, nat = 5, ntyp = 4
/
ATOMIC_SPECIES
S 32.06 S.upf
Be 9.01 Be.upf
Cr 52.00 Cr.upf
Zr 91.22 Zr.upf
ATOMIC_POSITIONS crystal
S 0.0000 0.5000 0.0000
Be 0.5000 0.0000 0.0000
Be 0.0000 0.0000 0.5000
Cr 0.5000 0.5000 0.5000
Zr 0.0000 0.0000 0.0000
CELL_PARAMETERS angstrom
4.7224 0.0000 0.0000
0.0000 4.8053 0.0000
0.0000 0.0000 4.7224
```

Values from the calculation:
Energy above the lowest structure with this stoichiometry, eV/atom: 0.249
Total DFT energy (no corrections), Ry per atom: -0.3568
Formation energy from raw total energies, meV/atom: 1096
Magnetic moment, μB/cell: 4.1



[4]
Entry from the Alexandria database: PmTmSnPb after structural relaxation (PBE). Values from VASP.

```
&SYSTEM
  ibrav = 0, nat = 4, ntyp = 4
/
ATOMIC_SPECIES
Pm 145.00 Pm.upf
Pb 207.20 Pb.upf
Tm 168.93 Tm.upf
Sn 118.71 Sn.upf
ATOMIC_POSITIONS crystal
Pm 0.0000 0.0000 0.0000
Pb 0.7500 0.7500 0.7500
Tm 0.5000 0.5000 0.5000
Sn 0.2500 0.2500 0.2500
CELL_PARAMETERS angstrom
-4.6136 0.4767 -2.8335
-3.9997 -3.6146 0.6914
-4.5905 1.4733 2.5095
```

Values from the calculation:
Total DFT energy (no corrections), Ry per atom: -0.3446
Formation energy from the elements, meV/atom: -456
Magnetic moment, μB/cell: 0.0



[5]
Entry from the Alexandria database: SrPAu after structural relaxation (PBE). Values from VASP.

```
&SYSTEM
  ibrav = 0, nat = 3, ntyp = 3
/
ATOMIC_SPECIES
Sr 87.62 Sr.upf
P 30.97 P.upf
Au 196.97 Au.upf
ATOMIC_POSITIONS crystal
Sr 0.3333 0.6667 0.6667
P 0.6667 0.3333 0.1666
Au 0.0000 0.0000 0.1667
CELL_PARAMETERS angstrom
-1.3457 -4.1045 0.4187
2.8648 1.0398 -3.0895
3.2778 -0.7918 2.7729
```

Values from the calculation:
Total DFT energy (no corrections), Ry per atom: -0.3196
Formation energy from the elements, meV/atom: -892
Magnetic moment, μB/cell: 0.0



[6]
Entry from the Alexandria database: CaZnCl2 after structural relaxation (PBE). Values from VASP.

```
&SYSTEM
  ibrav = 0, nat = 4, ntyp = 3
/
ATOMIC_SPECIES
Zn 65.41 Zn.upf
Ca 40.08 Ca.upf
Cl 35.45 Cl.upf
ATOMIC_POSITIONS crystal
Zn 0.5578 0.5578 0.0000
Ca 0.8003 0.3003 0.5000
Cl 0.2437 0.7437 0.5000
Cl 0.8982 0.8982 0.0000
CELL_PARAMETERS angstrom
-7.6078 5.8212 2.4231
-9.0155 3.3969 -2.1950
7.2672 -6.5318 1.4698
```

Values from the calculation:
Energy above the lowest structure with this stoichiometry, eV/atom: 0.139
Total DFT energy (no corrections), Ry per atom: -0.2309
Formation energy from raw total energies, meV/atom: -1399
Magnetic moment, μB/cell: 0.0



[7]
Entry from the Alexandria database: MgZnPd3 after structural relaxation (PBE). Values from VASP.

```
&SYSTEM
  ibrav = 0, nat = 20, ntyp = 3
/
ATOMIC_SPECIES
Pd 106.42 Pd.upf
Zn 65.41 Zn.upf
Mg 24.30 Mg.upf
ATOMIC_POSITIONS crystal
Pd 0.9963 0.8010 0.7995
Pd 0.4963 0.1990 0.7005
Pd 0.0037 0.1990 0.2005
Pd 0.7499 0.3964 0.4014
Pd 0.4963 0.1990 0.2005
Pd 0.5037 0.8010 0.7995
Pd 0.7501 0.3964 0.9014
Pd 0.0037 0.1990 0.7005
Pd 0.5037 0.8010 0.2995
Pd 0.2501 0.6036 0.5986
Pd 0.2499 0.6036 0.0986
Pd 0.9963 0.8010 0.2995
Zn 0.2500 0.9836 0.0040
Zn 0.2500 0.9836 0.5040
Zn 0.7500 0.0164 0.9960
Zn 0.7500 0.0164 0.4960
Mg 0.2501 0.3849 0.9037
Mg 0.7501 0.6151 0.5963
Mg 0.2499 0.3849 0.4037
Mg 0.7499 0.6151 0.0963
CELL_PARAMETERS angstrom
5.5719 0.0000 0.0000
0.0000 7.0416 1.3504
0.0000 0.8056 8.0620
```

Values from the calculation:
Energy above the lowest structure with this stoichiometry, eV/atom: 0.000
Total DFT energy (no corrections), Ry per atom: -0.3063
Formation energy from the elements, meV/atom: -478
Magnetic moment, μB/cell: 0.0



[8]
Entry from the Alexandria database: Ca2YCd after structural relaxation (PBE). Values from VASP.

```
&SYSTEM
  ibrav = 0, nat = 4, ntyp = 3
/
ATOMIC_SPECIES
Y 88.91 Y.upf
Ca 40.08 Ca.upf
Cd 112.41 Cd.upf
ATOMIC_POSITIONS crystal
Y 0.2500 0.7500 0.5000
Ca 0.5350 0.5350 0.0000
Ca 0.9650 0.9650 0.0000
Cd 0.7500 0.2500 0.5000
CELL_PARAMETERS angstrom
6.8272 0.0074 0.0034
3.3728 5.9359 -0.0034
-4.4835 -4.0298 3.2047
```

Values from the calculation:
Total DFT energy (no corrections), Ry per atom: -0.2147
Formation energy from the elements, meV/atom: -75
Magnetic moment, μB/cell: 0.0



[9]
Entry from the Alexandria database: Ba2NiAs3 after structural relaxation (PBE). Values from VASP.

```
&SYSTEM
  ibrav = 0, nat = 12, ntyp = 3
/
ATOMIC_SPECIES
Ba 137.33 Ba.upf
As 74.92 As.upf
Ni 58.69 Ni.upf
ATOMIC_POSITIONS crystal
Ba 0.2253 0.2253 0.0000
Ba 0.7500 0.2500 0.5000
Ba 0.7747 0.7747 0.0000
Ba 0.2500 0.7500 0.5000
As 0.1756 0.1756 0.3513
As 0.6237 0.2078 0.8315
As 0.8244 0.8244 0.6487
As 0.3763 0.7922 0.1685
As 0.7922 0.3763 0.1685
As 0.2078 0.6237 0.8315
Ni 0.3305 0.3305 0.6611
Ni 0.6695 0.6695 0.3389
CELL_PARAMETERS angstrom
-2.7859 -5.9196 -1.1759
4.9746 -3.0620 3.1723
-4.8491 4.9921 5.3737
```

Values from the calculation:
Total DFT energy (no corrections), Ry per atom: -0.3444
Formation energy from the elements, meV/atom: -757
Magnetic moment, μB/cell: 0.0



[10]
Entry from the Alexandria database: Ag6Te2SBr after structural relaxation (PBE). Values from VASP.

```
&SYSTEM
  ibrav = 0, nat = 10, ntyp = 4
/
ATOMIC_SPECIES
S 32.06 S.upf
Ag 107.87 Ag.upf
Te 127.60 Te.upf
Br 79.90 Br.upf
ATOMIC_POSITIONS crystal
S 0.2688 0.2693 0.1929
Ag 0.2138 0.9195 0.1717
Ag 0.4108 0.6227 0.8388
Ag 0.9193 0.6951 0.1714
Ag 0.6949 0.2140 0.1718
Ag 0.1279 0.4107 0.8386
Ag 0.6229 0.1268 0.8399
Te 0.0769 0.0770 0.7693
Te 0.5369 0.5368 0.3895
Br 0.7894 0.7897 0.6313
CELL_PARAMETERS angstrom
6.9882 0.0020 -0.0003
3.4958 6.0512 0.0007
3.4943 2.0188 5.6032
```

Values from the calculation:
Total DFT energy (no corrections), Ry per atom: -0.2171
Formation energy from raw total energies, meV/atom: -34
Magnetic moment, μB/cell: 0.0



[11]
Entry from the Alexandria database: CsBeAu2Br after structural relaxation (PBE). Values from VASP.

```
&SYSTEM
  ibrav = 0, nat = 5, ntyp = 4
/
ATOMIC_SPECIES
Au 196.97 Au.upf
Cs 132.91 Cs.upf
Be 9.01 Be.upf
Br 79.90 Br.upf
ATOMIC_POSITIONS crystal
Au 0.5000 0.0000 0.0000
Au 0.0000 0.0000 0.5000
Cs 0.0000 0.5000 0.0000
Be 0.0000 0.0000 0.0000
Br 0.5000 0.5000 0.5000
CELL_PARAMETERS angstrom
4.6186 0.0000 0.0000
0.0000 8.4116 0.0000
0.0000 0.0000 4.6186
```

Values from the calculation:
Total DFT energy (no corrections), Ry per atom: -0.2032
Formation energy from raw total energies, meV/atom: -203
Magnetic moment, μB/cell: 0.0



[12]
Entry from the Alexandria database: TmPaTeIr after structural relaxation (PBE). Values from VASP.

```
&SYSTEM
  ibrav = 0, nat = 4, ntyp = 4
/
ATOMIC_SPECIES
Tm 168.93 Tm.upf
Ir 192.22 Ir.upf
Pa 231.04 Pa.upf
Te 127.60 Te.upf
ATOMIC_POSITIONS crystal
Tm 0.4980 0.1469 0.6603
Ir 0.3089 0.5524 0.8766
Pa 0.1029 0.9494 0.0675
Te 0.9681 0.3821 0.3653
CELL_PARAMETERS angstrom
-0.3716 -3.5951 1.8557
3.2704 0.7803 -2.2819
2.6638 4.8461 5.4755
```

Values from the calculation:
Total DFT energy (no corrections), Ry per atom: -0.5465
Formation energy from raw total energies, meV/atom: -943
Magnetic moment, μB/cell: 0.0



[13]
Entry from the Alexandria database: VB2Sb after structural relaxation (PBE). Values from VASP.

```
&SYSTEM
  ibrav = 0, nat = 8, ntyp = 3
/
ATOMIC_SPECIES
Sb 121.76 Sb.upf
B 10.81 B.upf
V 50.94 V.upf
ATOMIC_POSITIONS crystal
Sb 0.7500 0.2500 0.5000
Sb 0.0000 0.0000 0.0000
B 0.1534 0.6250 0.2500
B 0.5966 0.1250 0.2500
B 0.3750 0.4034 0.7500
B 0.8750 0.8466 0.7500
V 0.5000 0.5000 0.0000
V 0.2500 0.7500 0.5000
CELL_PARAMETERS angstrom
5.0754 0.0000 0.0000
0.0000 5.0754 0.0000
2.5377 2.5377 4.9393
```

Values from the calculation:
Total DFT energy (no corrections), Ry per atom: -0.4294
Formation energy from raw total energies, meV/atom: 806
Magnetic moment, μB/cell: 0.0